BaNbRe2Mo | PBE | relaxed

Results
- DFT formation energy: 1715 meV/atom
- Spin magnetization: 3.67 μB/f.u.
- Fermi-level density of states: 5.97 states/eV per cell

a = 4.966 Å, b = 4.966 Å, c = 4.986 Å
α = 90.00°, β = 90.00°, γ = 90.00°
Atoms (fractional coordinates):
Ba1 0.000 0.000 0.000
Nb1 0.500 0.500 0.500
Re1 0.000 0.500 0.500
Re2 0.500 0.000 0.500
Mo1 0.500 0.500 0.000

NdPu4Pd5 | PBE | relaxed

Results
- DFT formation energy: -451 meV/atom
- Spin magnetization: 0.13 μB/f.u.
- Fermi-level density of states: 43.96 states/eV per cell

a = 3.491 Å, b = 3.491 Å, c = 18.226 Å
α = 90.00°, β = 90.00°, γ = 90.00°
Atoms (fractional coordinates):
Nd1 0.000 0.000 0.000
Pu1 0.000 0.000 0.203
Pu2 0.000 0.000 0.402
Pu3 0.000 0.000 0.598
Pu4 0.000 0.000 0.797
Pd1 0.500 0.500 0.103
Pd2 0.500 0.500 0.302
Pd3 0.500 0.500 0.500
Pd4 0.500 0.500 0.698
Pd5 0.500 0.500 0.897